# 1
Here is an optimized crystal structure of Tm8NiIr2 from Alexandria. Energies are from GGA-PBE.

Its space group is No. 12. The total energy is -64.51 eV/cell. For the total magnetization, the calculation gives 0.00 μB/atom. The formation energy comes out at -0.475 eV per atom.

abc: 4.8108 6.7507 8.8675
angles: 107.00 105.74 90.00
Closest atoms and distances in Å follow each position.
Element x y z (fractional)
1 Ir 0.8147 0.2963 0.6293  9 Tm 2.77-3.08
2 Tm 0.4043 0.5445 0.8085  1 Ni 3.01, 2 Ir 3.06, 6 Tm 3.27-3.36
3 Tm 0.3332 0.0372 0.6664  3 Ir 2.83-3.05, 1 Ni 2.93
4 Tm 0.5957 0.4555 0.1915  1 Ni 3.01, 2 Ir 3.06, 6 Tm 3.27-3.36
5 Tm 0.7957 0.6892 0.5914  3 Ir 2.77-3.08
6 Tm 0.2043 0.3108 0.4086  3 Ir 2.77-3.08
7 Ir 0.1853 0.7037 0.3707  9 Tm 2.77-3.08
8 Ni 0.5000 0.0000 0.0000  8 Tm 2.92-3.01
9 Tm 0.6668 0.9628 0.3336  3 Ir 2.83-3.05, 1 Ni 2.93
10 Tm 0.9692 0.2101 0.9385  1 Ir 2.87, 2 Ni 2.92
11 Tm 0.0308 0.7899 0.0615  1 Ir 2.87, 2 Ni 2.92

---

# 2
Here is an optimized crystal structure of SmP2OsRu from Alexandria. Energies are from GGA-PBE.

Its space group is No. 119. The total energy is -40.47 eV/cell. For the total magnetization, the calculation gives 0.00 μB/atom. The formation energy comes out at -0.886 eV per atom.

abc: 4.0868 4.0868 5.6795
angles: 111.09 111.09 90.00
Closest atoms and distances in Å follow each position.
Element x y z (fractional)
1 P 0.3716 0.3716 0.7431  2 Ru 2.36, 2 Os 2.36, 1 P 2.51
2 Ru 0.2500 0.7500 0.5000  4 P 2.36
3 P 0.6284 0.6284 0.2569  2 Os 2.36, 2 Ru 2.36, 1 P 2.51
4 Sm 0.0000 0.0000 0.0000  8 P 3.15, 4 Ru 3.19, 4 Os 3.19
5 Os 0.7500 0.2500 0.5000  4 P 2.36

---

# 3
Here is an optimized crystal structure of K2ScGaSe4 from Alexandria. Energies are from GGA-PBE.

Its space group is No. 121. The total energy is -35.14 eV/cell. For the total magnetization, the calculation gives 0.00 μB/atom. The formation energy (no corrections) comes out at -1207 meV/atom.

abc: 6.7066 6.7036 6.7036
angles: 75.51 59.99 59.99
Closest atoms and distances in Å follow each position.
Element x y z (fractional)
1 Se 0.1015 0.3282 0.0000  1 Ga 2.47, 1 Sc 2.61
2 K 0.0000 0.5000 0.5000  2 K 3.35, 8 Se 3.45-3.55
3 Se 0.4298 0.6718 0.0000  1 Ga 2.47, 1 Sc 2.61
4 Sc 0.0000 0.0000 0.0000  4 Se 2.61
5 Ga 0.5000 0.0000 0.0000  4 Se 2.47
6 Se 0.8985 0.0000 0.6718  1 Ga 2.47, 1 Sc 2.61
7 Se 0.5702 0.0000 0.3282  1 Ga 2.47, 1 Sc 2.61
8 K 0.5000 0.5000 0.5000  2 K 3.35, 8 Se 3.45-3.55

---

# 4
Here is an optimized crystal structure of SrZn2WI from Alexandria. Energies are from GGA-PBE.

Its space group is No. 123. The total energy is -12.15 eV/cell. For the total magnetization, the calculation gives 0.34 μB/atom. The formation energy (no corrections) comes out at 1317 meV/atom.

abc: 5.5286 5.0559 5.5286
angles: 90.00 90.00 90.00
Closest atoms and distances in Å follow each position.
Element x y z (fractional)
1 W 0.0000 0.5000 0.0000  2 I 2.53
2 Zn 0.5000 0.0000 0.0000  2 I 2.76
3 I 0.0000 0.0000 0.0000  2 W 2.53, 4 Zn 2.76
4 Sr 0.5000 0.5000 0.5000  8 Zn 3.75, 4 W 3.91
5 Zn 0.0000 0.0000 0.5000  2 I 2.76

---

# 5
Here is an optimized crystal structure of Y2Co from Alexandria. Energies are from GGA-PBE.

Its space group is No. 189. The total energy is -60.77 eV/cell. For the total magnetization, the calculation gives 0.00 μB/atom. The formation energy comes out at -0.074 eV per atom.

abc: 7.1570 7.1570 4.7057
angles: 90.00 90.00 120.00
Closest atoms and distances in Å follow each position.
Element x y z (fractional)
1 Y 0.5971 0.0000 0.5000  5 Co 2.88-3.21
2 Co 0.0000 0.0000 0.5000  9 Y 2.88-3.04
3 Y 0.0000 0.2688 0.0000  2 Co 2.65
4 Y 0.7312 0.7312 0.0000  2 Co 2.65
5 Y 0.0000 0.5971 0.5000  5 Co 2.88-3.21
6 Co 0.3333 0.6667 0.0000  3 Y 2.65
7 Y 0.2688 0.0000 0.0000  2 Co 2.65
8 Co 0.6667 0.3333 0.0000  3 Y 2.65
9 Y 0.4029 0.4029 0.5000  5 Co 2.88-3.21

---

# 6
Here is an optimized crystal structure of Rb3BaSe from Alexandria. Energies are from GGA-PBE.

Its space group is No. 221. The total energy is -10.12 eV/cell. For the total magnetization, the calculation gives 0.19 μB/atom. The formation energy (no corrections) comes out at -362 meV/atom.

abc: 6.8156 6.8156 6.8156
angles: 90.00 90.00 90.00
Closest atoms and distances in Å follow each position.
Element x y z (fractional)
1 Se 0.0000 0.0000 0.0000  6 Rb 3.41
2 Rb 0.0000 0.5000 0.0000  2 Se 3.41
3 Rb 0.0000 0.0000 0.5000  2 Se 3.41
4 Ba 0.5000 0.5000 0.5000  12 Rb 4.82
5 Rb 0.5000 0.0000 0.0000  2 Se 3.41

---

# 7
Here is an optimized crystal structure of Y3BeSn from Alexandria. Energies are from GGA-PBE.

Its space group is No. 221. The total energy is -27.82 eV/cell. For the total magnetization, the calculation gives 0.00 μB/atom. The formation energy comes out at -0.141 eV per atom.

abc: 5.1553 5.1553 5.1553
angles: 90.00 90.00 90.00
Closest atoms and distances in Å follow each position.
Element x y z (fractional)
1 Be 0.0000 0.0000 0.0000  6 Y 2.58
2 Y 0.0000 0.5000 0.0000  2 Be 2.58
3 Y 0.0000 0.0000 0.5000  2 Be 2.58
4 Sn 0.5000 0.5000 0.5000  12 Y 3.65
5 Y 0.5000 0.0000 0.0000  2 Be 2.58

---

# 8
Here is an optimized crystal structure of Cu2GeMo from Alexandria. Energies are from GGA-PBE.

Its space group is No. 122. The total energy is -44.25 eV/cell. For the total magnetization, the calculation gives 0.00 μB/atom. The formation energy comes out at 0.379 eV per atom.

abc: 3.5667 3.5667 9.7994
angles: 79.51 79.51 90.00
Closest atoms and distances in Å follow each position.
Element x y z (fractional)
1 Ge 0.2500 0.7500 0.5000  4 Mo 2.52, 4 Cu 2.68
2 Mo 0.7500 0.2500 0.5000  4 Ge 2.52, 4 Cu 2.68
3 Cu 0.6257 0.1250 0.2500  4 Cu 2.52-2.53, 2 Mo 2.68, 2 Ge 2.68
4 Cu 0.8750 0.8757 0.7500  4 Cu 2.52-2.53, 2 Mo 2.68, 2 Ge 2.68
5 Cu 0.1243 0.6250 0.2500  4 Cu 2.52-2.53, 2 Mo 2.68, 2 Ge 2.68
6 Ge 0.5000 0.5000 0.0000  4 Mo 2.52, 4 Cu 2.68
7 Cu 0.3750 0.3743 0.7500  4 Cu 2.52-2.53, 2 Mo 2.68, 2 Ge 2.68
8 Mo 0.0000 0.0000 0.0000  4 Ge 2.52, 4 Cu 2.68